# 1
A relaxed Tb2Pr8Nd crystal, computed with PBE.

## Properties
N(E_F) (states/eV/atom): 1.67
ΔE_f (eV/f.u.): 1.740
VASP energy (eV per atom): -4.59

Unit cell a=6.7865 b=10.5605 c=10.5605 alpha=37.97 beta=59.79 gamma=59.79
Element x y z (fractional)
Pr1 0.2728 0.4057 0.4057
Pr2 0.1703 0.7553 0.7553
Pr3 0.7272 0.5943 0.5943
Pr4 0.2343 0.3494 0.8262
Pr5 0.7657 0.1738 0.6506
Pr6 0.7657 0.6506 0.1738
Pr7 0.8297 0.2447 0.2447
Pr8 0.2343 0.8262 0.3494
Nd1 0.0000 0.0000 0.0000
Tb1 0.5898 0.8007 0.8007
Tb2 0.4102 0.1993 0.1993

# 2
A relaxed Tb3Pr8Nd2 crystal, computed with PBE.

## Properties
N(E_F) (states/eV/atom): 1.47
ΔE_f (eV/f.u.): 2.541
VASP energy (eV per atom): -4.55
Distance to the lowest polymorph of the same formula (meV/atom): 38.8

Unit cell a=5.7939 b=7.7638 c=11.1356 alpha=110.37 beta=90.01 gamma=90.00
Element x y z (fractional)
Tb1 0.0000 0.7155 0.0002
Tb2 0.5000 0.0000 0.0000
Tb3 0.0000 0.2845 0.9998
Nd1 0.4995 0.2412 0.4806
Nd2 0.5005 0.7588 0.5194
Pr1 0.9998 0.1306 0.2613
Pr2 0.0003 0.6710 0.3428
Pr3 0.5001 0.3991 0.2075
Pr4 0.0002 0.8694 0.7387
Pr5 0.5001 0.8095 0.2080
Pr6 0.9997 0.3290 0.6572
Pr7 0.4999 0.1905 0.7920
Pr8 0.4999 0.6009 0.7925

# 3
A relaxed Tb2Pr9Nd crystal, computed with PBE.

## Properties
N(E_F) (states/eV/atom): 1.74
ΔE_f (eV/f.u.): 0.167
VASP energy (eV per atom): -4.74

Unit cell a=5.2112 b=5.2112 c=15.6302 alpha=90.00 beta=90.00 gamma=90.00
Element x y z (fractional)
Pr1 0.5000 0.0000 0.5000
Pr2 0.5000 0.0000 0.1683
Pr3 0.0000 0.5000 0.5000
Pr4 0.0000 0.5000 0.1683
Pr5 0.5000 0.0000 0.8317
Pr6 0.5000 0.5000 0.3347
Pr7 0.5000 0.5000 0.0000
Pr8 0.0000 0.5000 0.8317
Pr9 0.5000 0.5000 0.6653
Nd1 0.0000 0.0000 0.0000
Tb1 0.0000 0.0000 0.6657
Tb2 0.0000 0.0000 0.3343

# 4
A relaxed Tb3PrNd3Te8 crystal, computed with PBE.

## Properties
Formation energy without anion corrections (meV per atom): -1429
N(E_F) (states/eV/atom): 0.47
VASP energy (eV per atom): -5.30

Unit cell a=8.8408 b=8.8410 c=8.8533 alpha=119.96 beta=90.00 gamma=120.00
Element x y z (fractional)
Nd1 0.0000 0.0000 0.0000
Nd2 0.0000 0.5000 0.0000
Nd3 0.5000 0.5000 0.0000
Te1 0.7340 0.9934 0.7528
Te2 0.7406 0.4812 0.2472
Te3 0.7467 0.4935 0.7402
Te4 0.2533 0.5065 0.2598
Te5 0.2660 0.0066 0.2472
Te6 0.2594 0.5188 0.7528
Te7 0.2594 0.9934 0.7528
Te8 0.7406 0.0066 0.2472
Tb1 0.0000 0.5000 0.5000
Tb2 0.5000 0.0000 0.5000
Tb3 0.5000 0.5000 0.5000
Pr1 0.0000 0.0000 0.5000

# 5
A relaxed Tb3PrNd2Te6 crystal, computed with PBE.

## Properties
Formation energy without anion corrections (meV per atom): -1373
N(E_F) (states/eV/atom): 0.51
VASP energy (eV per atom): -5.29

Unit cell a=4.4002 b=8.9701 c=9.9607 alpha=103.91 beta=102.76 gamma=90.00
Element x y z (fractional)
Pr1 0.5000 0.0000 0.0000
Te1 0.3300 0.9221 0.6600
Te2 0.0021 0.7423 0.0042
Te3 0.6645 0.5893 0.3289
Te4 0.9979 0.2577 0.9958
Te5 0.3355 0.4107 0.6711
Te6 0.6700 0.0779 0.3400
Tb1 0.1658 0.8331 0.3316
Tb2 0.8342 0.1669 0.6684
Tb3 0.5000 0.5000 0.0000
Nd1 0.1664 0.3328 0.3327
Nd2 0.8336 0.6672 0.6673

# 6
A relaxed TbPrNd2Te5 crystal, computed with PBE.

## Properties
Formation energy without anion corrections (meV per atom): -831
N(E_F) (states/eV/atom): 0.52
VASP energy (eV per atom): -4.68

Unit cell a=5.5552 b=5.5552 c=11.8941 alpha=90.00 beta=90.00 gamma=90.00
Element x y z (fractional)
Pr1 0.0000 0.0000 0.0000
Nd1 0.5000 0.5000 0.6552
Nd2 0.5000 0.5000 0.3448
Te1 0.0000 0.0000 0.7497
Te2 0.0000 0.5000 0.5000
Te3 0.5000 0.0000 0.5000
Te4 0.5000 0.5000 0.0000
Te5 0.0000 0.0000 0.2503
Tb1 0.0000 0.0000 0.5000

# 7
A relaxed TbPr4Nd3Te8 crystal, computed with PBE.

## Properties
Formation energy without anion corrections (meV per atom): -1412
N(E_F) (states/eV/atom): 0.79
VASP energy (eV per atom): -5.36

Unit cell a=8.9967 b=9.0072 c=8.9897 alpha=119.88 beta=120.03 gamma=90.00
Element x y z (fractional)
Te1 0.2470 0.2564 0.0017
Te2 0.2509 0.2526 0.5017
Te3 0.7546 0.2563 0.5093
Te4 0.2453 0.7436 0.9983
Te5 0.7530 0.7436 0.9983
Te6 0.2454 0.7437 0.4907
Te7 0.7547 0.2564 0.0017
Te8 0.7491 0.7474 0.4983
Nd1 0.5000 0.5000 0.0000
Nd2 0.5000 0.5000 0.5000
Nd3 0.0000 0.5000 0.5000
Tb1 0.0000 0.5000 0.0000
Pr1 0.0000 0.0000 0.0000
Pr2 0.0000 0.0000 0.5000
Pr3 0.5000 0.0000 0.0000
Pr4 0.5000 0.0000 0.5000

# 8
A relaxed TbPr3Nd2Te6 crystal, computed with PBE.

## Properties
Formation energy without anion corrections (meV per atom): -1414
N(E_F) (states/eV/atom): 0.55
VASP energy (eV per atom): -5.36

Unit cell a=4.4662 b=9.0481 c=10.0468 alpha=102.94 beta=102.84 gamma=90.00
Element x y z (fractional)
Te1 0.6663 0.5814 0.3326
Te2 0.3337 0.4186 0.6674
Te3 0.9996 0.2408 0.9991
Te4 0.3383 0.9177 0.6766
Te5 0.0004 0.7592 0.0009
Te6 0.6617 0.0823 0.3234
Pr1 0.8296 0.1661 0.6591
Pr2 0.1704 0.8339 0.3409
Pr3 0.5000 0.5000 0.0000
Nd1 0.8316 0.6648 0.6632
Nd2 0.1684 0.3352 0.3368
Tb1 0.5000 0.0000 0.0000

# 9
A relaxed Tb2PrNdTe6 crystal, computed with PBE.

## Properties
Formation energy without anion corrections (meV per atom): -1376
VASP energy (eV per atom): -5.14

Unit cell a=7.8723 b=7.8724 c=8.4324 alpha=62.17 beta=62.17 gamma=60.00
Element x y z (fractional)
Te1 0.1192 0.3988 0.7467
Te2 0.2352 0.9025 0.2468
Te3 0.7354 0.1191 0.7467
Te4 0.3987 0.7353 0.7467
Te5 0.6155 0.2353 0.2468
Te6 0.9025 0.6155 0.2468
Pr1 0.8179 0.8180 0.5461
Tb1 0.0087 0.0087 0.9740
Tb2 0.5095 0.5094 0.4717
Nd1 0.3190 0.3190 0.0429

# 10
A relaxed TbPrNd3Th crystal, computed with PBE.

## Properties
N(E_F) (states/eV/atom): 1.34
ΔE_f (eV/f.u.): 1.208
VASP energy (eV per atom): -4.99

Unit cell a=5.7582 b=10.7196 c=6.9893 alpha=88.79 beta=90.00 gamma=105.58
Element x y z (fractional)
Th1 0.9425 0.8850 0.7133
Th2 0.0575 0.1150 0.2867
Nd1 0.1557 0.3115 0.7502
Nd2 0.8443 0.6885 0.2498
Nd3 0.7802 0.5604 0.7453
Nd4 0.4815 0.9629 0.2474
Nd5 0.2198 0.4396 0.2547
Nd6 0.5185 0.0371 0.7526
Pr1 0.3543 0.7086 0.9559
Pr2 0.6457 0.2914 0.0441
Tb1 0.3533 0.7065 0.5190
Tb2 0.6467 0.2935 0.4810

# 11
A relaxed Tb3PrNdTh crystal, computed with PBE.

## Properties
N(E_F) (states/eV/atom): 1.42
ΔE_f (eV/f.u.): 0.209
VASP energy (eV per atom): -5.11

Unit cell a=5.1099 b=8.0543 c=10.8485 alpha=116.41 beta=90.00 gamma=90.00
Element x y z (fractional)
Tb1 0.2500 0.1243 0.9561
Tb2 0.7500 0.3675 0.5424
Tb3 0.2500 0.6206 0.7905
Tb4 0.7500 0.3794 0.2095
Tb5 0.2500 0.6325 0.4576
Tb6 0.7500 0.8757 0.0439
Pr1 0.7500 0.8780 0.7058
Pr2 0.2500 0.1220 0.2942
Th1 0.2500 0.1218 0.6217
Th2 0.7500 0.8782 0.3783
Nd1 0.7500 0.3719 0.8698
Nd2 0.2500 0.6281 0.1302

# 12
A relaxed TbPr2Nd4Th crystal, computed with PBE.

## Properties
N(E_F) (states/eV/atom): 1.96
ΔE_f (eV/f.u.): 1.040
VASP energy (eV per atom): -4.96

Unit cell a=6.1365 b=6.1217 c=9.5539 alpha=50.32 beta=90.00 gamma=90.00
Element x y z (fractional)
Nd1 0.5000 0.7551 0.2448
Nd2 0.0000 0.7444 0.7555
Nd3 0.0000 0.2556 0.2445
Nd4 0.5000 0.2449 0.7552
Th1 0.5000 0.5000 0.0000
Pr1 0.5000 0.0000 0.5000
Pr2 0.0000 0.0000 0.0000
Tb1 0.0000 0.5000 0.5000

| no. | magnetic moment (μB per cell) |
| --- | --- |
| 1 | 0.000 |
| 2 | 0.000 |
| 3 | 0.000 |
| 4 | 0.000 |
| 5 | 0.000 |
| 6 | 0.631 |
| 7 | 0.000 |
| 8 | 0.000 |
| 9 | 0.000 |
| 10 | 0.000 |
| 11 | 0.000 |
| 12 | 0.000 |